The following is a PBE-GGA calculation of crystalline Ba2TcAg at its relaxed geometry, from Alexandria via LeMat-Bulk.

Summary:
**Total DFT energy (no corrections)**: -3.69 eV per atom
**Symmetry**: No. 123
**DOS(E_F)**: 3.6 states/eV per cell
**ΔE_f**: 573 meV per atom

a = 3.782 Å, b = 3.782 Å, c = 8.826 Å
α = 90.00°, β = 90.00°, γ = 89.99°
Element x y z (fractional)
Ag1 0.500 0.500 0.750
Ba1 0.000 0.000 0.012
Tc1 0.500 0.500 0.250
Ba2 0.000 0.000 0.488



The following is a PBE-GGA calculation of crystalline SiNiRh at its relaxed geometry, from Alexandria via LeMat-Bulk.

Summary:
**Total DFT energy (no corrections)**: -6.54 eV per atom
**Symmetry**: No. 47
**DOS(E_F)**: 2.0 states/eV per cell
**Uncorrected formation energy**: -0.35 eV per atom

a = 3.754 Å, b = 3.922 Å, c = 2.828 Å
α = 90.00°, β = 90.00°, γ = 90.00°
Element x y z (fractional)
Rh1 0.000 0.000 0.500
Ni1 0.500 0.500 0.500
Si1 0.000 0.500 0.000



The following is a PBE-GGA calculation of crystalline Li2CrOs at its relaxed geometry, from Alexandria via LeMat-Bulk.

Summary:
**Total DFT energy (no corrections)**: -5.92 eV per atom
**Symmetry**: No. 99
**DOS(E_F)**: 2.2 states/eV per cell
**ΔE_f**: 254 meV per atom

a = 2.986 Å, b = 2.986 Å, c = 6.562 Å
α = 90.00°, β = 90.00°, γ = 90.00°
Element x y z (fractional)
Li1 0.500 0.500 0.264
Li2 0.000 0.000 0.000
Os1 0.000 0.000 0.524
Cr1 0.500 0.500 0.712



The following is a PBE-GGA calculation of crystalline Sr3Cd3Pt at its relaxed geometry, from Alexandria via LeMat-Bulk.

Summary:
**Total DFT energy (no corrections)**: -2.44 eV per atom
**Symmetry**: No. 12
**DOS(E_F)**: 9.5 states/eV per cell
**ΔE_f**: -466 meV per atom

a = 4.425 Å, b = 6.385 Å, c = 16.663 Å
α = 82.61°, β = 82.37°, γ = 69.73°
Element x y z (fractional)
Cd1 0.828 0.808 0.536
Sr1 0.613 0.695 0.079
Sr2 0.260 0.233 0.247
Cd2 0.023 0.187 0.766
Cd3 0.977 0.813 0.234
Pt1 0.789 0.048 0.374
Sr3 0.516 0.355 0.612
Cd4 0.172 0.192 0.464
Cd5 0.104 0.871 0.921
Pt2 0.211 0.952 0.626
Sr4 0.740 0.767 0.753
Cd6 0.896 0.129 0.079
Sr5 0.387 0.305 0.921
Sr6 0.484 0.645 0.388



The following is a PBE-GGA calculation of crystalline ZrInTc2 at its relaxed geometry, from Alexandria via LeMat-Bulk.

Summary:
**Total DFT energy (no corrections)**: -7.90 eV per atom
**Symmetry**: No. 71
**DOS(E_F)**: 3.8 states/eV per cell
**ΔE_f**: 107 meV per atom

a = 5.340 Å, b = 5.340 Å, c = 5.340 Å
α = 143.28°, β = 127.29°, γ = 65.96°
Element x y z (fractional)
In1 0.250 0.750 0.500
Zr1 0.750 0.250 0.500
Tc1 0.510 0.510 0.000
Tc2 0.990 0.990 0.000



The following is a PBE-GGA calculation of crystalline CoMo2RhCl at its relaxed geometry, from Alexandria via LeMat-Bulk.

Summary:
**Total DFT energy (no corrections)**: -6.42 eV per atom
**Symmetry**: No. 123
**DOS(E_F)**: 7.0 states/eV per cell
**Uncorrected formation energy**: 1.17 eV per atom

a = 4.378 Å, b = 4.304 Å, c = 4.378 Å
α = 90.00°, β = 90.00°, γ = 90.00°
Element x y z (fractional)
Mo1 0.500 0.000 0.000
Mo2 0.000 0.000 0.500
Rh1 0.000 0.500 0.000
Co1 0.500 0.500 0.500
Cl1 0.000 0.000 0.000



The following is a PBE-GGA calculation of crystalline Sc2ZnGeC at its relaxed geometry, from Alexandria via LeMat-Bulk.

Summary:
**Total DFT energy (no corrections)**: -6.02 eV per atom
**Symmetry**: No. 123
**DOS(E_F)**: 0.7 states/eV per cell
**ΔE_f**: -463 meV per atom

a = 4.534 Å, b = 4.534 Å, c = 3.968 Å
α = 90.00°, β = 90.00°, γ = 90.00°
Element x y z (fractional)
Ge1 0.500 0.500 0.500
C1 0.000 0.000 0.000
Sc1 0.000 0.500 0.000
Zn1 0.000 0.000 0.500
Sc2 0.500 0.000 0.000



The following is a PBE-GGA calculation of crystalline NdTmIr at its relaxed geometry, from Alexandria via LeMat-Bulk.

Summary:
**Total DFT energy (no corrections)**: -6.55 eV per atom
**Symmetry**: No. 156
**DOS(E_F)**: 2.0 states/eV per cell
**ΔE_f**: -517 meV per atom

a = 6.189 Å, b = 4.153 Å, c = 4.153 Å
α = 120.00°, β = 90.00°, γ = 90.00°
Element x y z (fractional)
Tm1 0.224 0.333 0.667
Ir1 0.011 0.000 0.000
Nd1 0.765 0.667 0.333



- Which of these has the highest total DFT energy (no corrections)?
  Sr3Cd3Pt